1.
Here is a geometry-optimized Na2OsO2 structure from Alexandria via LeMat-Bulk. Energies are from PBE.

## Properties
Calculated volume, Å³ per cell: 116.9
Formation energy (no corrections), kJ/mol of formula units: 157

Unit cell a=6.6287 b=6.6287 c=2.6606 alpha=90.00 beta=90.00 gamma=90.00
Element x y z (fractional)
O: 0.1886 0.6886 0.5000
Os: 0.0000 0.0000 0.0000
Na: 0.3831 0.8831 0.0000
Na: 0.8831 0.6169 0.0000
Na: 0.1169 0.3831 0.0000
Os: 0.5000 0.5000 0.0000
O: 0.6886 0.8114 0.5000
O: 0.8114 0.3114 0.5000
O: 0.3114 0.1886 0.5000
Na: 0.6169 0.1169 0.0000


2.
Here is a geometry-optimized HfZn2Pb structure from Alexandria via LeMat-Bulk. Energies are from PBE.

## Properties
Calculated volume, Å³ per cell: 172.0
Formation energy from the elements, eV per formula unit: 1.0

Unit cell a=7.6779 b=7.6779 c=6.1635 alpha=51.48 beta=51.48 gamma=90.00
Element x y z (fractional)
Hf: 0.2500 0.7500 0.5000
Zn: 0.6229 0.1250 0.2500
Zn: 0.8750 0.8729 0.7500
Pb: 0.7500 0.2500 0.5000
Zn: 0.1271 0.6250 0.2500
Pb: 0.0000 0.0000 0.0000
Zn: 0.3750 0.3771 0.7500
Hf: 0.5000 0.5000 0.0000


3.
Here is a geometry-optimized K3PrPu2S6 structure from Alexandria via LeMat-Bulk. Energies are from PBE.

## Properties
Calculated volume, Å³ per cell: 329.7
Formation energy (no corrections), kJ/mol of formula units: -1927

Unit cell a=7.1937 b=7.1937 c=7.7380 alpha=98.92 beta=98.92 gamma=120.00
Element x y z (fractional)
S: 0.9322 0.5899 0.7967
S: 0.4101 0.0678 0.2033
Pr: 0.0000 0.0000 0.0000
K: 0.1659 0.8341 0.5000
K: 0.5000 0.5000 0.5000
K: 0.8341 0.1659 0.5000
Pu: 0.3332 0.6668 0.0000
S: 0.5899 0.9322 0.7967
S: 0.2744 0.2744 0.7965
S: 0.7256 0.7256 0.2035
Pu: 0.6668 0.3332 0.0000
S: 0.0678 0.4101 0.2033


4.
Here is a geometry-optimized SrZnCr2 structure from Alexandria via LeMat-Bulk. Energies are from PBE.

## Properties
Calculated volume, Å³ per cell: 84.3
Formation energy from the elements, eV per formula unit: 3.5

Unit cell a=5.0553 b=5.0553 c=5.0553 alpha=131.31 beta=114.80 gamma=85.44
Element x y z (fractional)
Cr: 0.1691 0.6691 0.5000
Sr: 0.4906 0.4906 0.0000
Cr: 0.0381 0.0381 0.0000
Zn: 0.8022 0.3022 0.5000


5.
Here is a geometry-optimized TlBi2H structure from Alexandria via LeMat-Bulk. Energies are from PBE.

## Properties
Calculated volume, Å³ per cell: 215.6
DFT total energy, Ry per atom: -0.236

Unit cell a=3.4160 b=7.6759 c=10.8773 alpha=61.34 beta=89.87 gamma=116.40
Element x y z (fractional)
Bi: 0.7452 0.2409 0.8384
Tl: 0.7876 0.7929 0.7865
Bi: 0.2418 0.7438 0.5201
Tl: 0.2124 0.2071 0.2135
H: 0.8802 0.3748 0.9509
H: 0.1198 0.6252 0.0491
Bi: 0.2548 0.7591 0.1616
Bi: 0.7582 0.2562 0.4799


6.
Here is a geometry-optimized NaMn2Au structure from Alexandria via LeMat-Bulk. Energies are from PBE.

## Properties
Calculated volume, Å³ per cell: 154.4
Formation energy from the elements, eV per formula unit: 2.3

Unit cell a=3.9803 b=3.9803 c=10.1450 alpha=78.69 beta=78.69 gamma=90.00
Element x y z (fractional)
Mn: 0.1034 0.6250 0.2500
Mn: 0.8750 0.8966 0.7500
Na: 0.5000 0.5000 0.0000
Na: 0.2500 0.7500 0.5000
Au: 0.7500 0.2500 0.5000
Mn: 0.6466 0.1250 0.2500
Au: 0.0000 0.0000 0.0000
Mn: 0.3750 0.3534 0.7500


7.
Here is a geometry-optimized TiAuF2 structure from Alexandria via LeMat-Bulk. Energies are from PBE.

## Properties
Calculated volume, Å³ per cell: 54.8
Formation energy (no corrections), kJ/mol of formula units: -389

Unit cell a=4.2635 b=4.2635 c=4.2635 alpha=60.00 beta=60.00 gamma=60.00
Element x y z (fractional)
Ti: 0.0000 0.0000 0.0000
Au: 0.5000 0.5000 0.5000
F: 0.7500 0.7500 0.7500
F: 0.2500 0.2500 0.2500


8.
Here is a geometry-optimized Al2OsPb structure from Alexandria via LeMat-Bulk. Energies are from PBE.

## Properties
Calculated volume, Å³ per cell: 70.3
Formation energy from the elements, eV per formula unit: 2.1

Unit cell a=3.9477 b=4.2205 c=4.2205 alpha=90.00 beta=90.00 gamma=90.00
Element x y z (fractional)
Os: 0.5000 0.5000 0.0000
Al: 0.0000 0.5000 0.5000
Pb: 0.5000 0.0000 0.5000
Al: 0.0000 0.0000 0.0000